[1]
The following is a DFT calculation (GGA-PBEsol) of CaAs2P after structural relaxation.

Cell lengths 3.4651, 4.8788, 9.0907 Å; angles 90.00, 90.00, 90.00 degrees
Last column: nearest neighbours and their distance in Å.
Positions (direct):
1 Ca 0.0000 0.0000 0.0000  4 P 2.99, 8 As 3.09-3.17
2 Ca 0.5000 0.5000 0.5000  4 P 2.99, 8 As 3.09-3.17
3 As 0.0000 0.5000 0.2079  2 P 2.56
4 As 0.0000 0.5000 0.7921  2 P 2.56
5 As 0.5000 0.0000 0.2921  2 P 2.56
6 As 0.5000 0.0000 0.7079  2 P 2.56
7 P 0.0000 0.0000 0.5000  4 As 2.56
8 P 0.5000 0.5000 0.0000  4 As 2.56

Results
* formation energy: -0.3867 eV/atom
* space-group type: Immm, No. 71
* V: 19.21 Å³/atom


[2]
The following is a DFT calculation (GGA-PBEsol) of Ca2AsP after structural relaxation.

Cell lengths 4.0945, 4.0945, 10.4581 Å; angles 90.00, 90.00, 90.00 degrees
Last column: nearest neighbours and their distance in Å.
Positions (direct):
1 Ca 0.0000 0.0000 0.0000  4 P 2.90
2 Ca 0.0000 0.5000 0.2500  4 As 2.90
3 Ca 0.5000 0.0000 0.7500  4 As 2.90
4 Ca 0.5000 0.5000 0.5000  4 P 2.90
5 As 0.0000 0.5000 0.7500  4 Ca 2.90
6 As 0.5000 0.0000 0.2500  4 Ca 2.90
7 P 0.0000 0.0000 0.5000  4 Ca 2.90
8 P 0.5000 0.5000 0.0000  4 Ca 2.90

Results
* formation energy: -0.7838 eV/atom
* space-group type: I-4m2, No. 119
* V: 21.92 Å³/atom


[3]
The following is a DFT calculation (GGA-PBEsol) of Ca2AsP2 after structural relaxation.

Cell lengths 7.0773, 7.0773, 4.0719 Å; angles 90.00, 90.00, 90.00 degrees
Last column: nearest neighbours and their distance in Å.
Positions (direct):
1 Ca 0.1836 0.3164 0.0000  6 P 2.90-2.96
2 Ca 0.3164 0.8164 0.0000  6 P 2.90-2.96
3 Ca 0.6836 0.1836 0.0000  6 P 2.90-2.96
4 Ca 0.8164 0.6836 0.0000  6 P 2.90-2.96
5 As 0.0000 0.0000 0.5000  4 P 2.86
6 As 0.5000 0.5000 0.5000  4 P 2.86
7 P 0.1106 0.6106 0.5000  1 P 2.21
8 P 0.3894 0.1106 0.5000  1 P 2.21
9 P 0.6106 0.8894 0.5000  1 P 2.21
10 P 0.8894 0.3894 0.5000  1 P 2.21

Results
* formation energy: -0.7804 eV/atom
* space-group type: P4/mbm, No. 127
* V: 20.40 Å³/atom


Which value of V does entry 2 give?
21.92 Å³/atom